(1)
# VNiTe2 PBE optimized geometry
data_VNiTe2
_space_group_name_H-M_alt 'R -3 m'
_space_group_IT_number 166
_space_group_name_Hall '-R 3 2"'
_cell_length_a 3.5174
_cell_length_b 3.5174
_cell_length_c 24.9687
_cell_angle_alpha 90.00
_cell_angle_beta 90.00
_cell_angle_gamma 120.00
loop_
_atom_site_label
_atom_site_type_symbol
_atom_site_fract_x
_atom_site_fract_y
_atom_site_fract_z
V1 V 0.0000 0.0000 0.0000
Ni1 Ni 0.0000 0.0000 0.5000
Te1 Te 0.0000 0.0000 0.4029
# Formation energy without anion corrections (kJ/mol of formula units): 44
# Calculated density (g/cm3): 6.794
# Crystal system: trigonal


(2)
# BaDy2CrN4 PBE optimized geometry
data_BaDy2CrN4
_space_group_name_H-M_alt 'C m c m'
_space_group_IT_number 63
_space_group_name_Hall '-C 2c 2'
_cell_length_a 3.472
_cell_length_b 12.239
_cell_length_c 11.748
_cell_angle_alpha 90.00
_cell_angle_beta 90.00
_cell_angle_gamma 90.00
loop_
_atom_site_label
_atom_site_type_symbol
_atom_site_fract_x
_atom_site_fract_y
_atom_site_fract_z
Ba1 Ba 0.000 0.087 0.250
Dy1 Dy 0.000 0.370 0.042
Cr1 Cr 0.000 0.180 0.750
N1 N 0.000 0.000 0.000
N2 N 0.000 0.256 0.619
N3 N 0.000 0.394 0.250
# Formation energy without anion corrections (kJ/mol of formula units): -903
# Calculated density (g/cm3): 7.588
# Crystal system: orthorhombic


(3)
# Na2SrAl4B4O14 PBE optimized geometry
data_Na2SrAl4B4O14
_space_group_name_H-M_alt 'P 3'
_space_group_IT_number 143
_space_group_name_Hall 'P 3'
_cell_length_a 4.9550
_cell_length_b 4.9550
_cell_length_c 15.9481
_cell_angle_alpha 90.00
_cell_angle_beta 90.00
_cell_angle_gamma 120.00
loop_
_atom_site_label
_atom_site_type_symbol
_atom_site_fract_x
_atom_site_fract_y
_atom_site_fract_z
Na1 Na 0.0000 0.0000 0.0000
Na2 Na 0.0000 0.0000 0.2266
Sr1 Sr 0.0000 0.0000 0.6931
Al1 Al 0.3333 0.6667 0.3384
Al2 Al 0.3333 0.6667 0.5507
Al3 Al 0.6667 0.3333 0.0644
Al4 Al 0.6667 0.3333 0.8469
B1 B 0.3333 0.6667 0.0943
B2 B 0.3333 0.6667 0.8060
B3 B 0.6667 0.3333 0.2985
B4 B 0.6667 0.3333 0.5982
O1 O 0.0333 0.4140 0.8037
O2 O 0.0414 0.4011 0.0922
O3 O 0.3333 0.6667 0.4466
O4 O 0.4206 0.3891 0.2958
O5 O 0.4303 0.4035 0.6032
O6 O 0.6667 0.3333 0.9539
# Formation energy without anion corrections (kJ/mol of formula units): -6481
# Calculated density (g/cm3): 2.491
# Crystal system: trigonal


(4)
# BaHg2As2 PBE optimized geometry
data_BaHg2As2
_space_group_name_H-M_alt 'I 4/m m m'
_space_group_IT_number 139
_space_group_name_Hall '-I 4 2'
_cell_length_a 5.030
_cell_length_b 5.030
_cell_length_c 10.800
_cell_angle_alpha 90.00
_cell_angle_beta 90.00
_cell_angle_gamma 90.00
loop_
_atom_site_label
_atom_site_type_symbol
_atom_site_fract_x
_atom_site_fract_y
_atom_site_fract_z
Ba1 Ba 0.000 0.000 0.000
Hg1 Hg 0.000 0.000 0.371
As1 As 0.000 0.500 0.250
# Energy of formation from the pure elements (eV/atom): -0.37
# Calculated density (g/cm3): 8.366
# Crystal system: tetragonal


(5)
# TaSn4 PBE optimized geometry
data_TaSn4
_space_group_name_H-M_alt 'P m -3 m'
_space_group_IT_number 221
_space_group_name_Hall '-P 4 2 3'
_cell_length_a 5.407
_cell_length_b 5.407
_cell_length_c 5.407
_cell_angle_alpha 90.00
_cell_angle_beta 90.00
_cell_angle_gamma 90.00
loop_
_atom_site_label
_atom_site_type_symbol
_atom_site_fract_x
_atom_site_fract_y
_atom_site_fract_z
Ta1 Ta 0.000 0.000 0.000
Sn1 Sn 0.000 0.000 0.500
Sn2 Sn 0.500 0.500 0.500
# Energy of formation from the pure elements (eV/atom): 0.49
# Calculated density (g/cm3): 6.888
# Crystal system: cubic


(6)
# Ba2Cd7Hg12 PBE optimized geometry
data_Ba2Cd7Hg12
_space_group_name_H-M_alt 'P -3'
_space_group_IT_number 147
_space_group_name_Hall '-P 3'
_cell_length_a 11.3396
_cell_length_b 11.3396
_cell_length_c 5.1862
_cell_angle_alpha 90.00
_cell_angle_beta 90.00
_cell_angle_gamma 120.00
loop_
_atom_site_label
_atom_site_type_symbol
_atom_site_fract_x
_atom_site_fract_y
_atom_site_fract_z
Ba1 Ba 0.3333 0.6667 0.2849
Cd1 Cd 0.0000 0.0000 0.0000
Cd2 Cd 0.1184 0.7292 0.8181
Hg1 Hg 0.0520 0.4491 0.7311
Hg2 Hg 0.1279 0.8703 0.3160
# Energy of formation from the pure elements (eV/atom): -0.15
# Calculated density (g/cm3): 9.973
# Crystal system: trigonal


(7)
# Ba12Na6Ir PBE optimized geometry
data_Ba12Na6Ir
_space_group_name_H-M_alt 'R -3'
_space_group_IT_number 148
_space_group_name_Hall '-R 3'
_cell_length_a 15.2960
_cell_length_b 15.2960
_cell_length_c 15.9112
_cell_angle_alpha 90.00
_cell_angle_beta 90.00
_cell_angle_gamma 120.00
loop_
_atom_site_label
_atom_site_type_symbol
_atom_site_fract_x
_atom_site_fract_y
_atom_site_fract_z
Ba1 Ba 0.0391 0.6043 0.2255
Ba2 Ba 0.0583 0.1846 0.8904
Na1 Na 0.0502 0.8653 0.3261
Ir1 Ir 0.0000 0.0000 0.0000
# Energy of formation from the pure elements (eV/atom): 0.06
# Calculated density (g/cm3): 3.056
# Crystal system: trigonal


(8)
# MoAs PBE optimized geometry
data_MoAs
_space_group_name_H-M_alt 'P 21 21 21'
_space_group_IT_number 19
_space_group_name_Hall 'P 2ac 2ab'
_cell_length_a 4.829
_cell_length_b 5.975
_cell_length_c 9.215
_cell_angle_alpha 90.00
_cell_angle_beta 90.00
_cell_angle_gamma 90.00
loop_
_atom_site_label
_atom_site_type_symbol
_atom_site_fract_x
_atom_site_fract_y
_atom_site_fract_z
Mo1 Mo 0.073 0.245 0.215
Mo2 Mo 0.213 0.395 0.488
As1 As 0.093 0.414 0.759
As2 As 0.209 0.961 0.472
# Energy of formation from the pure elements (eV/atom): -0.03
# Calculated density (g/cm3): 8.536
# Crystal system: orthorhombic


E_tot across the listed records, respectively: -5.18; -7.93; -7.30; -2.73; -5.08; -0.81; -2.03; -7.77 eV/atom.